LiRuCl2 | PBE | relaxed

Computed properties:
N(E_F) in states/eV/cell: 3.5
Uncorrected formation energy in eV/atom: -0.364
Energy above the most stable polymorph in this dataset in eV/atom: 0.104

The structure in CIF format:
```
data_LiRuCl2
_chemical_formula_sum 'Li1 Ru1 Cl2'
_cell_length_a 3.2498
_cell_length_b 3.9308
_cell_length_c 5.0584
_cell_angle_alpha 90.00
_cell_angle_beta 90.00
_cell_angle_gamma 90.00
_symmetry_space_group_name_H-M 'P m m 2'
_symmetry_Int_Tables_number 25
_symmetry_space_group_name_Hall 'P 2 -2'
loop_
_atom_site_label
_atom_site_fract_x
_atom_site_fract_y
_atom_site_fract_z
Li1 0.0000 0.0000 0.0000
Ru1 0.5000 0.5000 0.4988
Cl1 0.0000 0.0000 0.4999
Cl2 0.5000 0.5000 0.9988
```



NaCu2Cl3 | PBE | relaxed

Computed properties:
N(E_F) in states/eV/cell: 0.0
Uncorrected formation energy in eV/atom: -0.837

The structure in CIF format:
```
data_NaCu2Cl3
_chemical_formula_sum 'Na4 Cu8 Cl12'
_cell_length_a 19.9264
_cell_length_b 4.0895
_cell_length_c 7.2374
_cell_angle_alpha 90.00
_cell_angle_beta 101.14
_cell_angle_gamma 90.00
_symmetry_space_group_name_H-M 'C 1 2/m 1'
_symmetry_Int_Tables_number 12
_symmetry_space_group_name_Hall '-C 2y'
loop_
_atom_site_label
_atom_site_fract_x
_atom_site_fract_y
_atom_site_fract_z
Na1 0.1664 0.0000 0.0499
Cu1 0.0355 0.5000 0.1635
Cu2 0.1610 0.0000 0.5478
Cl1 0.0747 0.0000 0.3228
Cl2 0.0832 0.5000 0.8847
Cl3 0.2481 0.0000 0.7685
```



K2AlCl | PBE | relaxed

Computed properties:
N(E_F) in states/eV/cell: 5.4
Uncorrected formation energy in eV/atom: -0.342
Energy above the most stable polymorph in this dataset in eV/atom: 0.304

The structure in CIF format:
```
data_K2AlCl
_chemical_formula_sum 'K4 Al2 Cl2'
_cell_length_a 4.7462
_cell_length_b 4.7462
_cell_length_c 13.5425
_cell_angle_alpha 90.00
_cell_angle_beta 90.00
_cell_angle_gamma 90.00
_symmetry_space_group_name_H-M 'I -4 m 2'
_symmetry_Int_Tables_number 119
_symmetry_space_group_name_Hall 'I -4 -2'
loop_
_atom_site_label
_atom_site_fract_x
_atom_site_fract_y
_atom_site_fract_z
K1 0.0000 0.0000 0.0000
K2 0.0000 0.5000 0.2500
Al1 0.0000 0.5000 0.7500
Cl1 0.0000 0.0000 0.5000
```



Ca2AgPd2 | PBE | relaxed

Computed properties:
N(E_F) in states/eV/cell: 6.3
Formation energy in eV/atom: -0.59
Energy above the most stable polymorph in this dataset in eV/atom: 0.011

The structure in CIF format:
```
data_Ca2AgPd2
_chemical_formula_sum 'Ca8 Ag4 Pd8'
_cell_length_a 10.0298
_cell_length_b 5.6048
_cell_length_c 8.2040
_cell_angle_alpha 90.00
_cell_angle_beta 105.95
_cell_angle_gamma 90.00
_symmetry_space_group_name_H-M 'C 1 2/c 1'
_symmetry_Int_Tables_number 15
_symmetry_space_group_name_Hall '-C 2yc'
loop_
_atom_site_label
_atom_site_fract_x
_atom_site_fract_y
_atom_site_fract_z
Ca1 0.1506 0.1482 0.1509
Ag1 0.0000 0.3129 0.7500
Pd1 0.1315 0.3643 0.4986
```



Ca2TlSe | PBE | relaxed

Computed properties:
N(E_F) in states/eV/cell: 7.8
Uncorrected formation energy in eV/atom: -1.098
Energy above the most stable polymorph in this dataset in eV/atom: 0.000

The structure in CIF format:
```
data_Ca2TlSe
_chemical_formula_sum 'Ca6 Tl3 Se3'
_cell_length_a 4.0345
_cell_length_b 4.0345
_cell_length_c 25.4340
_cell_angle_alpha 90.00
_cell_angle_beta 90.00
_cell_angle_gamma 120.00
_symmetry_space_group_name_H-M 'R -3 m'
_symmetry_Int_Tables_number 166
_symmetry_space_group_name_Hall '-R 3 2"'
loop_
_atom_site_label
_atom_site_fract_x
_atom_site_fract_y
_atom_site_fract_z
Ca1 0.0000 0.0000 0.2363
Tl1 0.0000 0.0000 0.0000
Se1 0.0000 0.0000 0.5000
```



Sc3Br7Cl | PBE | relaxed

Computed properties:
N(E_F) in states/eV/cell: 9.7
Uncorrected formation energy in eV/atom: -1.700

The structure in CIF format:
```
data_Sc3Br7Cl
_chemical_formula_sum 'Sc6 Br14 Cl2'
_cell_length_a 13.3449
_cell_length_b 7.7014
_cell_length_c 9.6077
_cell_angle_alpha 90.00
_cell_angle_beta 133.87
_cell_angle_gamma 90.00
_symmetry_space_group_name_H-M 'C 1 m 1'
_symmetry_Int_Tables_number 8
_symmetry_space_group_name_Hall 'C -2y'
loop_
_atom_site_label
_atom_site_fract_x
_atom_site_fract_y
_atom_site_fract_z
Sc1 0.0000 0.0000 0.0000
Sc2 0.2481 0.2482 0.0000
Br1 0.0610 0.5000 0.7812
Br2 0.1945 0.2435 0.2210
Br3 0.3036 0.2571 0.7807
Br4 0.4375 0.0000 0.2203
Br5 0.4483 0.5000 0.2328
Cl1 0.0628 0.0000 0.7946
```



Pu2SiTc | PBE | relaxed

Computed properties:
N(E_F) in states/eV/cell: 13.8
Uncorrected formation energy in eV/atom: -0.070
Energy above the most stable polymorph in this dataset in eV/atom: 0.159

The structure in CIF format:
```
data_Pu2SiTc
_chemical_formula_sum 'Pu2 Si1 Tc1'
_cell_length_a 4.6481
_cell_length_b 4.6481
_cell_length_c 4.8651
_cell_angle_alpha 90.00
_cell_angle_beta 90.00
_cell_angle_gamma 120.00
_symmetry_space_group_name_H-M 'P -3 m 1'
_symmetry_Int_Tables_number 164
_symmetry_space_group_name_Hall '-P 3 2"'
loop_
_atom_site_label
_atom_site_fract_x
_atom_site_fract_y
_atom_site_fract_z
Pu1 0.3333 0.6667 0.2331
Si1 0.0000 0.0000 0.5000
Tc1 0.0000 0.0000 0.0000
```



MgBe5As4 | PBE | relaxed

Computed properties:
N(E_F) in states/eV/cell: 0.8
Formation energy in eV/atom: -0.02

The structure in CIF format:
```
data_MgBe5As4
_chemical_formula_sum 'Mg2 Be10 As8'
_cell_length_a 7.6657
_cell_length_b 7.9437
_cell_length_c 5.3932
_cell_angle_alpha 90.00
_cell_angle_beta 90.00
_cell_angle_gamma 90.00
_symmetry_space_group_name_H-M 'P m m n'
_symmetry_Int_Tables_number 59
loop_
_symmetry_equiv_pos_as_xyz
'x,y,z'
'-x,-y,-z'
'-x+1/2,-y+1/2,z'
'x+1/2,y+1/2,-z'
'x+1/2,-y,-z'
'-x+1/2,y,z'
'-x,y+1/2,-z'
'x,-y+1/2,z'
loop_
_atom_site_label
_atom_site_fract_x
_atom_site_fract_y
_atom_site_fract_z
Mg1 0.2500 0.2500 0.1993
Be1 0.0035 0.0168 0.7508
Be2 0.2500 0.7500 0.7287
As1 0.0100 0.7500 0.5017
As2 0.2500 0.5327 0.9933
```



Al3FeAu | PBE | relaxed

Computed properties:
N(E_F) in states/eV/cell: 3.4
Formation energy in eV/atom: 0.11
Energy above the most stable polymorph in this dataset in eV/atom: 0.000

The structure in CIF format:
```
data_Al3FeAu
_chemical_formula_sum 'Al3 Fe1 Au1'
_cell_length_a 4.4712
_cell_length_b 4.4712
_cell_length_c 4.4712
_cell_angle_alpha 90.00
_cell_angle_beta 90.00
_cell_angle_gamma 90.00
_symmetry_space_group_name_H-M 'P m -3 m'
_symmetry_Int_Tables_number 221
_symmetry_space_group_name_Hall '-P 4 2 3'
loop_
_atom_site_label
_atom_site_fract_x
_atom_site_fract_y
_atom_site_fract_z
Al1 0.0000 0.0000 0.5000
Fe1 0.0000 0.0000 0.0000
Au1 0.5000 0.5000 0.5000
```



LaPrYTm | PBE | relaxed

Computed properties:
N(E_F) in states/eV/cell: 28.8
Formation energy in eV/atom: 0.08
Energy above the most stable polymorph in this dataset in eV/atom: 0.000

The structure in CIF format:
```
data_LaPrYTm
_chemical_formula_sum 'La4 Pr4 Y4 Tm4'
_cell_length_a 8.1800
_cell_length_b 8.1800
_cell_length_c 8.1800
_cell_angle_alpha 90.00
_cell_angle_beta 90.00
_cell_angle_gamma 90.00
_symmetry_space_group_name_H-M 'F -4 3 m'
_symmetry_Int_Tables_number 216
_symmetry_space_group_name_Hall 'F -4 2 3'
loop_
_atom_site_label
_atom_site_fract_x
_atom_site_fract_y
_atom_site_fract_z
La1 0.0000 0.0000 0.0000
Pr1 0.0000 0.0000 0.5000
Y1 0.2500 0.2500 0.2500
Tm1 0.2500 0.2500 0.7500
```



Ti3PdCl | PBE | relaxed

Computed properties:
N(E_F) in states/eV/cell: 7.6
Uncorrected formation energy in eV/atom: -0.040
Energy above the most stable polymorph in this dataset in eV/atom: 0.000

The structure in CIF format:
```
data_Ti3PdCl
_chemical_formula_sum 'Ti3 Pd1 Cl1'
_cell_length_a 4.4174
_cell_length_b 4.4174
_cell_length_c 4.4174
_cell_angle_alpha 90.00
_cell_angle_beta 90.00
_cell_angle_gamma 90.00
_symmetry_space_group_name_H-M 'P m -3 m'
_symmetry_Int_Tables_number 221
_symmetry_space_group_name_Hall '-P 4 2 3'
loop_
_atom_site_label
_atom_site_fract_x
_atom_site_fract_y
_atom_site_fract_z
Ti1 0.0000 0.0000 0.5000
Pd1 0.5000 0.5000 0.5000
Cl1 0.0000 0.0000 0.0000
```



Tb2Pr4Tm3 | PBE | relaxed

Computed properties:
N(E_F) in states/eV/cell: 25.2
Formation energy in eV/atom: 0.05
Energy above the most stable polymorph in this dataset in eV/atom: 0.000

The structure in CIF format:
```
data_Tb2Pr4Tm3
_chemical_formula_sum 'Tb4 Pr8 Tm6'
_cell_length_a 7.1205
_cell_length_b 8.5390
_cell_length_c 10.4328
_cell_angle_alpha 99.07
_cell_angle_beta 100.25
_cell_angle_gamma 101.79
_symmetry_space_group_name_H-M 'P -1'
_symmetry_Int_Tables_number 2
_symmetry_space_group_name_Hall '-P 1'
loop_
_atom_site_label
_atom_site_fract_x
_atom_site_fract_y
_atom_site_fract_z
Tb1 0.0600 0.3333 0.3922
Tb2 0.1763 0.0236 0.1635
Pr1 0.0223 0.6634 0.9432
Pr2 0.1414 0.3283 0.7365
Pr3 0.3241 0.9755 0.8341
Pr4 0.4428 0.6641 0.6095
Tm1 0.2509 0.0002 0.4981
Tm2 0.3625 0.6748 0.2603
Tm3 0.4759 0.3359 0.0551
```



SmErSc2 | PBE | relaxed

Computed properties:
N(E_F) in states/eV/cell: 22.6
Formation energy in eV/atom: 0.22
Energy above the most stable polymorph in this dataset in eV/atom: 0.173

The structure in CIF format:
```
data_SmErSc2
_chemical_formula_sum 'Sm3 Er3 Sc6'
_cell_length_a 3.3264
_cell_length_b 3.3264
_cell_length_c 35.6255
_cell_angle_alpha 90.00
_cell_angle_beta 90.00
_cell_angle_gamma 120.00
_symmetry_space_group_name_H-M 'R -3 m'
_symmetry_Int_Tables_number 166
_symmetry_space_group_name_Hall '-R 3 2"'
loop_
_atom_site_label
_atom_site_fract_x
_atom_site_fract_y
_atom_site_fract_z
Sm1 0.0000 0.0000 0.0000
Er1 0.0000 0.0000 0.5000
Sc1 0.0000 0.0000 0.0906
```



Pm6PrNd3Tm2 | PBE | relaxed

Computed properties:
N(E_F) in states/eV/cell: 34.1
Formation energy in eV/atom: 0.02

The structure in CIF format:
```
data_Pm6PrNd3Tm2
_chemical_formula_sum 'Pm12 Pr2 Nd6 Tm4'
_cell_length_a 6.2998
_cell_length_b 10.9091
_cell_length_c 12.0577
_cell_angle_alpha 90.00
_cell_angle_beta 100.04
_cell_angle_gamma 90.00
_symmetry_space_group_name_H-M 'C 1 2/m 1'
_symmetry_Int_Tables_number 12
_symmetry_space_group_name_Hall '-C 2y'
loop_
_atom_site_label
_atom_site_fract_x
_atom_site_fract_y
_atom_site_fract_z
Pm1 0.2481 0.0000 0.2468
Pm2 0.2498 0.1674 0.7531
Pr1 0.0000 0.5000 0.0000
Nd1 0.0000 0.0000 0.5000
Nd2 0.0000 0.3330 0.5000
Tm1 0.0000 0.1667 0.0000
```



Ti2HSe | PBE | relaxed

Computed properties:
N(E_F) in states/eV/cell: 5.2
Energy above the most stable polymorph in this dataset in eV/atom: 0.000

The structure in CIF format:
```
data_Ti2HSe
_chemical_formula_sum 'Ti4 H2 Se2'
_cell_length_a 3.3822
_cell_length_b 9.9627
_cell_length_c 3.4136
_cell_angle_alpha 90.00
_cell_angle_beta 90.00
_cell_angle_gamma 90.00
_symmetry_space_group_name_H-M 'P m n 21'
_symmetry_Int_Tables_number 31
_symmetry_space_group_name_Hall 'P 2ac -2'
loop_
_atom_site_label
_atom_site_fract_x
_atom_site_fract_y
_atom_site_fract_z
Ti1 0.0000 0.0806 0.0000
Ti2 0.0000 0.7483 0.0093
H1 0.0000 0.9138 0.7488
Se1 0.0000 0.3519 0.0069
```



CeTmSn | PBE | relaxed

Computed properties:
N(E_F) in states/eV/cell: 11.5
Formation energy in eV/atom: -0.33

The structure in CIF format:
```
data_CeTmSn
_chemical_formula_sum 'Ce2 Tm2 Sn2'
_cell_length_a 3.4737
_cell_length_b 3.4737
_cell_length_c 14.2014
_cell_angle_alpha 90.00
_cell_angle_beta 90.00
_cell_angle_gamma 90.00
_symmetry_space_group_name_H-M 'I 4 m m'
_symmetry_Int_Tables_number 107
_symmetry_space_group_name_Hall 'I 4 -2'
loop_
_atom_site_label
_atom_site_fract_x
_atom_site_fract_y
_atom_site_fract_z
Ce1 0.0000 0.0000 0.0000
Tm1 0.0000 0.0000 0.3087
Sn1 0.0000 0.0000 0.6592
```



TlCdI3 | PBE | relaxed

Computed properties:
N(E_F) in states/eV/cell: 0.1
Uncorrected formation energy in eV/atom: -0.481
Energy above the most stable polymorph in this dataset in eV/atom: 0.126

The structure in CIF format:
```
data_TlCdI3
_chemical_formula_sum 'Tl1 Cd1 I3'
_cell_length_a 5.9394
_cell_length_b 5.9394
_cell_length_c 5.9394
_cell_angle_alpha 90.00
_cell_angle_beta 90.00
_cell_angle_gamma 90.00
_symmetry_space_group_name_H-M 'P m -3 m'
_symmetry_Int_Tables_number 221
_symmetry_space_group_name_Hall '-P 4 2 3'
loop_
_atom_site_label
_atom_site_fract_x
_atom_site_fract_y
_atom_site_fract_z
Tl1 0.0000 0.0000 0.0000
Cd1 0.5000 0.5000 0.5000
I1 0.0000 0.5000 0.5000
```



TlZn2Cd9 | PBE | relaxed

Computed properties:
N(E_F) in states/eV/cell: 17.3
Formation energy in eV/atom: 0.03

The structure in CIF format:
```
data_TlZn2Cd9
_chemical_formula_sum 'Tl4 Zn8 Cd36'
_cell_length_a 11.9768
_cell_length_b 11.9768
_cell_length_c 7.6463
_cell_angle_alpha 90.00
_cell_angle_beta 90.00
_cell_angle_gamma 90.00
_symmetry_space_group_name_H-M 'I 41/a m d'
_symmetry_Int_Tables_number 141
loop_
_symmetry_equiv_pos_as_xyz
'x,y,z'
'-x,-y,-z'
'-y+1/4,x+3/4,z+1/4'
'y+1/4,-x+3/4,-z+1/4'
'-x+1/2,-y,z+1/2'
'x+1/2,y,-z+1/2'
'y+1/4,-x+1/4,z+3/4'
'-y+1/4,x+1/4,-z+3/4'
'x,-y,-z'
'-x,y,z'
'-y+1/4,-x+1/4,-z+3/4'
'y+1/4,x+1/4,z+3/4'
'-x+1/2,y,-z+1/2'
'x+1/2,-y,z+1/2'
'y+1/4,x+3/4,-z+1/4'
'-y+1/4,-x+3/4,z+1/4'
'x+1/2,y+1/2,z+1/2'
'-x+1/2,-y+1/2,-z+1/2'
'-y+3/4,x+1/4,z+3/4'
'y+3/4,-x+1/4,-z+3/4'
'-x,-y+1/2,z'
'x,y+1/2,-z'
'y+3/4,-x+3/4,z+1/4'
'-y+3/4,x+3/4,-z+1/4'
'x+1/2,-y+1/2,-z+1/2'
'-x+1/2,y+1/2,z+1/2'
'-y+3/4,-x+3/4,-z+1/4'
'y+3/4,x+3/4,z+1/4'
'-x,y+1/2,-z'
'x,-y+1/2,z'
'y+3/4,x+1/4,-z+3/4'
'-y+3/4,-x+1/4,z+3/4'
loop_
_atom_site_label
_atom_site_fract_x
_atom_site_fract_y
_atom_site_fract_z
Tl1 0.0000 0.2500 0.3750
Zn1 0.0000 0.0000 0.0000
Cd1 0.0000 0.2500 0.8750
Cd2 0.1210 0.0499 0.6791
```



CaZrSeN2 | PBE | relaxed

Computed properties:
N(E_F) in states/eV/cell: 3.8
Uncorrected formation energy in eV/atom: 0.903
Energy above the most stable polymorph in this dataset in eV/atom: 1.454

The structure in CIF format:
```
data_CaZrSeN2
_chemical_formula_sum 'Ca1 Zr1 Se1 N2'
_cell_length_a 4.1744
_cell_length_b 4.1744
_cell_length_c 5.2673
_cell_angle_alpha 90.00
_cell_angle_beta 90.00
_cell_angle_gamma 90.00
_symmetry_space_group_name_H-M 'P 4/m m m'
_symmetry_Int_Tables_number 123
_symmetry_space_group_name_Hall '-P 4 2'
loop_
_atom_site_label
_atom_site_fract_x
_atom_site_fract_y
_atom_site_fract_z
Ca1 0.0000 0.0000 0.0000
Zr1 0.5000 0.5000 0.5000
Se1 0.0000 0.0000 0.5000
N1 0.0000 0.5000 0.0000
```



HfAlAgO2 | PBE | relaxed

Computed properties:
N(E_F) in states/eV/cell: 1.1
Uncorrected formation energy in eV/atom: -1.307

The structure in CIF format:
```
data_HfAlAgO2
_chemical_formula_sum 'Hf1 Al1 Ag1 O2'
_cell_length_a 3.9964
_cell_length_b 3.9964
_cell_length_c 5.8725
_cell_angle_alpha 90.00
_cell_angle_beta 90.00
_cell_angle_gamma 90.00
_symmetry_space_group_name_H-M 'P 4/m m m'
_symmetry_Int_Tables_number 123
_symmetry_space_group_name_Hall '-P 4 2'
loop_
_atom_site_label
_atom_site_fract_x
_atom_site_fract_y
_atom_site_fract_z
Hf1 0.0000 0.0000 0.0000
Al1 0.5000 0.5000 0.5000
Ag1 0.0000 0.0000 0.5000
O1 0.0000 0.5000 0.0000
```